Record 1
Entry from the Alexandria database: crystalline SmBeOs at its relaxed geometry (PBE).

Calculated values
Energy relative to the elements (eV per atom): -0.104
Space-group type: No. 62
Excess energy over the best structure of this formula in the dataset (eV per atom): 0.015

Cell: 10.534 4.268 4.741 Å, 90.00 90.00 90.00°
Element x y z (fractional)
1 Sm 0.210 0.250 0.117
2 Sm 0.290 0.750 0.617
3 Sm 0.710 0.250 0.383
4 Sm 0.790 0.750 0.883
5 Be 0.046 0.750 0.897
6 Be 0.454 0.250 0.397
7 Be 0.546 0.750 0.603
8 Be 0.954 0.250 0.103
9 Os 0.019 0.250 0.624
10 Os 0.481 0.750 0.124
11 Os 0.519 0.250 0.876
12 Os 0.981 0.750 0.376


Record 2
Entry from the Alexandria database: crystalline PuHfNi10 at its relaxed geometry (PBE).

Calculated values
Energy relative to the elements (eV per atom): -0.236
Space-group type: No. 47

Cell: 3.954 4.795 8.340 Å, 90.00 90.00 90.00°
Element x y z (fractional)
1 Pu 0.000 0.000 0.000
2 Hf 0.000 0.500 0.500
3 Ni 0.000 0.000 0.339
4 Ni 0.000 0.000 0.661
5 Ni 0.000 0.500 0.174
6 Ni 0.000 0.500 0.826
7 Ni 0.500 0.000 0.500
8 Ni 0.500 0.254 0.257
9 Ni 0.500 0.254 0.743
10 Ni 0.500 0.500 0.000
11 Ni 0.500 0.746 0.257
12 Ni 0.500 0.746 0.743


Record 3
Entry from the Alexandria database: crystalline MgNiBr at its relaxed geometry (PBE).

Calculated values
Formation energy from raw total energies (eV per atom): 0.05
Space-group type: No. 187
Excess energy over the best structure of this formula in the dataset (eV per atom): 0.114

Cell: 4.226 4.226 3.476 Å, 90.00 90.00 120.00°
Element x y z (fractional)
1 Mg 0.000 0.000 0.000
2 Ni 0.667 0.333 0.500
3 Br 0.333 0.667 0.500


Record 4
Entry from the Alexandria database: crystalline Zr4Sn at its relaxed geometry (PBE).

Calculated values
Energy relative to the elements (eV per atom): 0.140
Space-group type: No. 14
Excess energy over the best structure of this formula in the dataset (eV per atom): 0.357

Cell: 7.326 5.470 6.426 Å, 90.00 90.05 90.00°
Element x y z (fractional)
1 Zr 0.149 0.240 0.000
2 Zr 0.149 0.260 0.500
3 Zr 0.203 0.750 0.250
4 Zr 0.203 0.750 0.750
5 Zr 0.797 0.250 0.250
6 Zr 0.797 0.250 0.750
7 Zr 0.851 0.740 0.500
8 Zr 0.851 0.760 0.000
9 Sn 0.500 0.000 0.500
10 Sn 0.500 0.500 0.000


Record 5
Entry from the Alexandria database: crystalline KY2Hg at its relaxed geometry (PBE).

Calculated values
Energy relative to the elements (eV per atom): -0.041
Space-group type: No. 6

Cell: 3.707 3.706 10.199 Å, 90.00 90.05 90.00°
Element x y z (fractional)
1 K 0.000 0.000 0.000
2 Y 0.500 0.500 0.654
3 Y 0.999 0.000 0.425
4 Hg 0.499 0.500 0.256


Record 6
Entry from the Alexandria database: crystalline Cd2TcO4 at its relaxed geometry (PBE).

Calculated values
Formation energy from raw total energies (eV per atom): -0.93
Space-group type: No. 139
Excess energy over the best structure of this formula in the dataset (eV per atom): 0.013

Cell: 6.674 6.674 6.674 Å, 145.91 145.91 48.97°
Element x y z (fractional)
1 Cd 0.153 0.153 0.000
2 Cd 0.847 0.847 0.000
3 Tc 0.500 0.500 0.000
4 O 0.000 0.500 0.500
5 O 0.334 0.334 0.000
6 O 0.500 0.000 0.500
7 O 0.666 0.666 0.000


Record 7
Entry from the Alexandria database: crystalline MgTaPt2 at its relaxed geometry (PBE).

Calculated values
Energy relative to the elements (eV per atom): -0.440
Space-group type: No. 123

Cell: 4.130 4.130 3.848 Å, 90.00 90.00 90.00°
Element x y z (fractional)
1 Mg 0.000 0.000 0.000
2 Ta 0.500 0.500 0.000
3 Pt 0.000 0.500 0.500
4 Pt 0.500 0.000 0.500


Record 8
Entry from the Alexandria database: crystalline BaSrH at its relaxed geometry (PBE).

Calculated values
Space-group type: No. 6
Excess energy over the best structure of this formula in the dataset (eV per atom): 0.029

Cell: 6.053 4.334 8.620 Å, 90.00 90.82 90.00°
Element x y z (fractional)
1 Ba 0.000 0.000 0.000
2 Ba 0.469 0.500 0.765
3 Sr 0.000 0.000 0.539
4 Sr 0.495 0.500 0.274
5 H 0.246 0.000 0.760
6 H 0.965 0.500 0.760


Record 9
Entry from the Alexandria database: crystalline SrIrRuO6 at its relaxed geometry (PBE).

Calculated values
Formation energy from raw total energies (eV per atom): -1.35
Space-group type: No. 149

Cell: 5.338 5.338 5.223 Å, 90.00 90.00 120.00°
Element x y z (fractional)
1 Sr 0.000 0.000 0.000
2 Ir 0.667 0.333 0.500
3 Ru 0.333 0.667 0.500
4 O 0.001 0.384 0.702
5 O 0.001 0.617 0.298
6 O 0.383 0.384 0.298
7 O 0.383 0.999 0.702
8 O 0.616 0.617 0.702
9 O 0.616 0.999 0.298


Record 10
Entry from the Alexandria database: crystalline CuRuBr2 at its relaxed geometry (PBE).

Calculated values
Formation energy from raw total energies (eV per atom): 0.25
Space-group type: No. 8
Excess energy over the best structure of this formula in the dataset (eV per atom): 0.000

Cell: 4.733 4.733 7.206 Å, 106.47 106.47 45.15°
Element x y z (fractional)
1 Cu 0.000 0.000 0.000
2 Ru 0.249 0.249 0.920
3 Br 0.660 0.660 0.681
4 Br 0.816 0.816 0.187


Record 11
Entry from the Alexandria database: crystalline La4Nd3Tl2 at its relaxed geometry (PBE).

Calculated values
Energy relative to the elements (eV per atom): -0.144
Space-group type: No. 12

Cell: 5.659 5.659 10.918 Å, 90.02 90.02 60.04°
Element x y z (fractional)
1 La 0.000 0.000 0.159
2 La 0.000 0.000 0.841
3 La 0.334 0.334 0.668
4 La 0.666 0.666 0.332
5 Nd 0.000 0.000 0.500
6 Nd 0.333 0.333 0.021
7 Nd 0.667 0.667 0.979
8 Tl 0.333 0.333 0.347
9 Tl 0.667 0.667 0.653


Record 12
Entry from the Alexandria database: crystalline SrPb2I2O2 at its relaxed geometry (PBE).

Calculated values
Formation energy from raw total energies (eV per atom): -1.41
Space-group type: No. 12

Cell: 7.143 7.143 8.959 Å, 120.95 120.95 33.87°
Element x y z (fractional)
1 Sr 0.000 0.000 0.000
2 Pb 0.196 0.196 0.805
3 Pb 0.804 0.804 0.195
4 I 0.434 0.434 0.676
5 I 0.566 0.566 0.324
6 O 0.198 0.198 0.061
7 O 0.802 0.802 0.939


Record 13
Entry from the Alexandria database: crystalline CsCo3Au at its relaxed geometry (PBE).

Calculated values
Energy relative to the elements (eV per atom): 2.380
Space-group type: No. 221
Excess energy over the best structure of this formula in the dataset (eV per atom): 1.101

Cell: 4.716 4.716 4.716 Å, 90.00 90.00 90.00°
Element x y z (fractional)
1 Cs 0.000 0.000 0.000
2 Co 0.000 0.000 0.500
3 Co 0.000 0.500 0.000
4 Co 0.500 0.000 0.000
5 Au 0.500 0.500 0.500


Record 14
Entry from the Alexandria database: crystalline LiLa2SnS4 at its relaxed geometry (PBE).

Calculated values
Formation energy from raw total energies (eV per atom): -1.49
Space-group type: No. 10

Cell: 7.096 4.150 7.116 Å, 90.00 109.52 90.00°
Element x y z (fractional)
1 Li 0.000 0.000 0.000
2 La 0.500 0.000 0.500
3 La 0.500 0.500 0.000
4 Sn 0.000 0.500 0.500
5 S 0.246 0.000 0.755
6 S 0.247 0.500 0.246
7 S 0.753 0.500 0.754
8 S 0.754 0.000 0.245


Record 15
Entry from the Alexandria database: crystalline Zr2InCo at its relaxed geometry (PBE).

Calculated values
Energy relative to the elements (eV per atom): -0.154
Space-group type: No. 44

Cell: 5.814 5.814 5.814 Å, 147.49 131.93 59.23°
Element x y z (fractional)
1 Zr 0.000 0.000 0.000
2 Zr 0.712 0.212 0.500
3 In 0.418 0.418 0.000
4 Co 0.203 0.703 0.500


Record 16
Entry from the Alexandria database: crystalline Mg3Zn5Ru2 at its relaxed geometry (PBE).

Calculated values
Energy relative to the elements (eV per atom): -0.046
Space-group type: No. 72

Cell: 10.148 10.148 10.148 Å, 142.00 49.18 149.96°
Element x y z (fractional)
1 Mg 0.226 0.639 0.865
2 Mg 0.250 0.250 0.000
3 Mg 0.274 0.139 0.413
4 Mg 0.726 0.861 0.587
5 Mg 0.750 0.750 0.000
6 Mg 0.774 0.361 0.135
7 Zn 0.088 0.706 0.795
8 Zn 0.101 0.250 0.851
9 Zn 0.250 0.750 0.500
10 Zn 0.399 0.250 0.149
11 Zn 0.412 0.206 0.618
12 Zn 0.588 0.794 0.382
13 Zn 0.601 0.750 0.851
14 Zn 0.750 0.250 0.500
15 Zn 0.899 0.750 0.149
16 Zn 0.912 0.294 0.205
17 Ru 0.121 0.322 0.443
18 Ru 0.379 0.822 0.202
19 Ru 0.621 0.178 0.798
20 Ru 0.879 0.678 0.557


Record 17
Entry from the Alexandria database: crystalline Zr2MnGaPd at its relaxed geometry (PBE).

Calculated values
Energy relative to the elements (eV per atom): 0.125
Space-group type: No. 123

Cell: 4.754 4.754 4.537 Å, 90.00 90.00 90.00°
Element x y z (fractional)
1 Zr 0.000 0.500 0.000
2 Zr 0.500 0.000 0.000
3 Mn 0.000 0.000 0.000
4 Ga 0.000 0.000 0.500
5 Pd 0.500 0.500 0.500


Record 18
Entry from the Alexandria database: crystalline MgH2O2 at its relaxed geometry (PBE).

Calculated values
Space-group type: No. 127
Total DFT energy (no corrections) (eV per atom): -4.674

Cell: 5.590 5.590 2.496 Å, 90.00 90.00 90.00°
Element x y z (fractional)
1 Mg 0.000 0.000 0.000
2 Mg 0.500 0.500 0.000
3 H 0.153 0.347 0.500
4 H 0.347 0.847 0.500
5 H 0.653 0.153 0.500
6 H 0.847 0.653 0.500
7 O 0.189 0.311 0.000
8 O 0.311 0.811 0.000
9 O 0.689 0.189 0.000
10 O 0.811 0.689 0.000


Record 19
Entry from the Alexandria database: crystalline Lu2AsN at its relaxed geometry (PBE).

Calculated values
Formation energy from raw total energies (eV per atom): -1.45
Space-group type: No. 166

Cell: 6.599 6.599 6.599 Å, 31.85 31.85 31.85°
Element x y z (fractional)
1 Lu 0.236 0.236 0.236
2 Lu 0.764 0.764 0.764
3 As 0.000 0.000 0.000
4 N 0.500 0.500 0.500


Record 20
Entry from the Alexandria database: crystalline SbOsCl2 at its relaxed geometry (PBE).

Calculated values
Formation energy from raw total energies (eV per atom): 0.42
Space-group type: No. 44
Excess energy over the best structure of this formula in the dataset (eV per atom): 0.394

Cell: 6.657 6.657 6.657 Å, 152.77 139.33 49.63°
Element x y z (fractional)
1 Sb 0.000 0.000 0.000
2 Os 0.827 0.327 0.500
3 Cl 0.330 0.830 0.500
4 Cl 0.645 0.645 0.000